VASP calculation (GGA-PBE) on a relaxed structure of Bi3BI.

a b c (Å): 5.9555 5.9555 5.9555
angles (deg): 90.00 90.00 90.00
Closest atoms and distances in Å follow each position.
Fractional coordinates of all 5 atoms:
Bi 0.0000 0.0000 0.5000  2 I 2.98
Bi 0.0000 0.5000 0.0000  2 I 2.98
Bi 0.5000 0.0000 0.0000  2 I 2.98
B 0.5000 0.5000 0.5000  12 Bi 4.21
I 0.0000 0.0000 0.0000  6 Bi 2.98

Properties
VASP energy in eV per atom: -2.08
Formation energy (no corrections) in eV per atom: 1.896
Space-group type: Pm-3m (221)

VASP calculation (GGA-PBE) on a relaxed structure of BiBI2.

a b c (Å): 5.4289 5.4289 5.4289
angles (deg): 60.00 60.00 60.00
Closest atoms and distances in Å follow each position.
Fractional coordinates of all 4 atoms:
Bi 0.0000 0.0000 0.0000  8 I 3.32
B 0.5000 0.5000 0.5000  8 I 3.32
I 0.2500 0.2500 0.2500  4 Bi 3.32, 4 B 3.32
I 0.7500 0.7500 0.7500  4 Bi 3.32, 4 B 3.32

Properties
VASP energy in eV per atom: -2.27
Formation energy (no corrections) in eV per atom: 1.147
Space-group type: Fm-3m (225)

VASP calculation (GGA-PBE) on a relaxed structure of BiB3I.

a b c (Å): 4.5273 4.5273 4.5273
angles (deg): 90.00 90.00 90.00
Closest atoms and distances in Å follow each position.
Fractional coordinates of all 5 atoms:
Bi 0.0000 0.0000 0.0000  12 B 3.20
B 0.0000 0.5000 0.5000  2 I 2.26
B 0.5000 0.0000 0.5000  2 I 2.26
B 0.5000 0.5000 0.0000  2 I 2.26
I 0.5000 0.5000 0.5000  6 B 2.26

Properties
VASP energy in eV per atom: -2.76
Formation energy (no corrections) in eV per atom: 2.337
Space-group type: Pm-3m (221)

VASP calculation (GGA-PBE) on a relaxed structure of Bi3BI.

a b c (Å): 5.2204 5.2204 5.2204
angles (deg): 90.00 90.00 90.00
Closest atoms and distances in Å follow each position.
Fractional coordinates of all 5 atoms:
Bi 0.0000 0.0000 0.5000  2 B 2.61
Bi 0.0000 0.5000 0.0000  2 B 2.61
Bi 0.5000 0.0000 0.0000  2 B 2.61
B 0.0000 0.0000 0.0000  6 Bi 2.61
I 0.5000 0.5000 0.5000  12 Bi 3.69

Properties
VASP energy in eV per atom: -3.25
Formation energy (no corrections) in eV per atom: 0.724
Space-group type: Pm-3m (221)

VASP calculation (GGA-PBE) on a relaxed structure of BiB2I.

a b c (Å): 7.4031 7.4031 7.4031
angles (deg): 137.20 137.20 62.13
Closest atoms and distances in Å follow each position.
Fractional coordinates of all 8 atoms:
Bi 0.0000 0.0000 0.0000  4 B 2.45
Bi 0.7500 0.2500 0.5000  4 B 2.45
B 0.1155 0.6250 0.9905  2 Bi 2.45, 2 I 2.51
B 0.3750 0.3655 0.4905  2 Bi 2.45, 2 I 2.51
B 0.6345 0.1250 0.0095  2 Bi 2.45, 2 I 2.51
B 0.8750 0.8845 0.5095  2 Bi 2.45, 2 I 2.51
I 0.2500 0.7500 0.5000  4 B 2.51
I 0.5000 0.5000 0.0000  4 B 2.51

Properties
VASP energy in eV per atom: -3.22
Formation energy (no corrections) in eV per atom: 1.478
Space-group type: I-42d (122)

VASP calculation (GGA-PBE) on a relaxed structure of LaBiB2I.

a b c (Å): 4.7268 4.7268 6.2475
angles (deg): 90.00 90.00 90.00
Closest atoms and distances in Å follow each position.
Fractional coordinates of all 5 atoms:
La 0.0000 0.0000 0.0000  4 I 3.34
Bi 0.5000 0.5000 0.5000  4 B 2.36
B 0.0000 0.5000 0.5000  2 Bi 2.36
B 0.5000 0.0000 0.5000  2 Bi 2.36
I 0.5000 0.5000 0.0000  2 Bi 3.12, 4 La 3.34

Properties
VASP energy in eV per atom: -3.53
Formation energy (no corrections) in eV per atom: 1.212
Space-group type: P4/mmm (123)

VASP calculation (GGA-PBE) on a relaxed structure of BiBI2N.

a b c (Å): 6.3207 6.3207 4.2503
angles (deg): 90.00 90.00 90.00
Closest atoms and distances in Å follow each position.
Fractional coordinates of all 5 atoms:
Bi 0.0000 0.0000 0.0000  2 N 2.13
B 0.5000 0.5000 0.5000  8 I 3.81, 2 B 4.25
I 0.0000 0.5000 0.0000  2 Bi 3.16
I 0.5000 0.0000 0.0000  2 Bi 3.16
N 0.0000 0.0000 0.5000  2 Bi 2.13

Properties
VASP energy in eV per atom: -2.81
Formation energy (no corrections) in eV per atom: 1.582
Space-group type: P4/mmm (123)

VASP calculation (GGA-PBE) on a relaxed structure of BiBI2N.

a b c (Å): 8.0364 8.0364 2.7768
angles (deg): 90.00 90.00 90.00
Closest atoms and distances in Å follow each position.
Fractional coordinates of all 5 atoms:
Bi 0.0000 0.0000 0.0000  2 Bi 2.78
B 0.5000 0.5000 0.5000  2 N 1.39
I 0.0000 0.5000 0.5000  2 I 2.78
I 0.5000 0.0000 0.5000  2 I 2.78
N 0.5000 0.5000 0.0000  2 B 1.39

Properties
VASP energy in eV per atom: -4.26
Formation energy (no corrections) in eV per atom: 0.133
Space-group type: P4/mmm (123)

VASP calculation (GGA-PBE) on a relaxed structure of BiBIO2.

a b c (Å): 4.1148 4.1148 4.8831
angles (deg): 90.00 90.00 90.00
Closest atoms and distances in Å follow each position.
Fractional coordinates of all 5 atoms:
Bi 0.0000 0.0000 0.0000  2 B 2.44
B 0.0000 0.0000 0.5000  4 O 2.06
I 0.5000 0.5000 0.0000  4 Bi 2.91, 8 O 3.19
O 0.0000 0.5000 0.5000  2 B 2.06
O 0.5000 0.0000 0.5000  2 B 2.06

Properties
VASP energy in eV per atom: -3.65
Formation energy (no corrections) in eV per atom: 0.753
Space-group type: P4/mmm (123)

VASP calculation (GGA-PBE) on a relaxed structure of BiBIO2.

a b c (Å): 4.2242 4.2242 6.9614
angles (deg): 90.00 90.00 90.00
Closest atoms and distances in Å follow each position.
Fractional coordinates of all 5 atoms:
Bi 0.0000 0.0000 0.0000  4 O 2.11
B 0.5000 0.5000 0.5000  4 I 2.99
I 0.0000 0.0000 0.5000  4 B 2.99
O 0.0000 0.5000 0.0000  2 Bi 2.11
O 0.5000 0.0000 0.0000  2 Bi 2.11

Properties
VASP energy in eV per atom: -3.88
Formation energy (no corrections) in eV per atom: 0.528
Space-group type: P4/mmm (123)

VASP calculation (GGA-PBE) on a relaxed structure of BiBI2O.

a b c (Å): 6.2554 6.2554 4.2948
angles (deg): 90.00 90.00 90.00
Closest atoms and distances in Å follow each position.
Fractional coordinates of all 5 atoms:
Bi 0.0000 0.0000 0.0000  2 O 2.15
B 0.5000 0.5000 0.5000  8 I 3.79
I 0.0000 0.5000 0.0000  2 Bi 3.13
I 0.5000 0.0000 0.0000  2 Bi 3.13
O 0.0000 0.0000 0.5000  2 Bi 2.15

Properties
VASP energy in eV per atom: -3.03
Formation energy (no corrections) in eV per atom: 0.698
Space-group type: P4/mmm (123)

VASP calculation (GGA-PBE) on a relaxed structure of BiBIO2.

a b c (Å): 4.1542 4.1542 4.4711
angles (deg): 90.00 90.00 90.00
Closest atoms and distances in Å follow each position.
Fractional coordinates of all 5 atoms:
Bi 0.0000 0.0000 0.0000  4 I 2.94, 8 O 3.05
B 0.5000 0.5000 0.5000  4 O 2.08, 2 I 2.24
I 0.5000 0.5000 0.0000  2 B 2.24
O 0.0000 0.5000 0.5000  2 B 2.08
O 0.5000 0.0000 0.5000  2 B 2.08

Properties
VASP energy in eV per atom: -3.83
Formation energy (no corrections) in eV per atom: 0.571
Space-group type: P4/mmm (123)

VASP calculation (GGA-PBE) on a relaxed structure of BiBI2O.

a b c (Å): 7.1294 7.1294 2.9160
angles (deg): 90.00 90.00 90.00
Closest atoms and distances in Å follow each position.
Fractional coordinates of all 5 atoms:
Bi 0.0000 0.0000 0.0000  2 Bi 2.92
B 0.5000 0.5000 0.5000  2 O 1.46
I 0.0000 0.5000 0.5000  2 I 2.92
I 0.5000 0.0000 0.5000  2 I 2.92
O 0.5000 0.5000 0.0000  2 B 1.46

Properties
VASP energy in eV per atom: -3.60
Formation energy (no corrections) in eV per atom: 0.128
Space-group type: P4/mmm (123)

VASP calculation (GGA-PBE) on a relaxed structure of BiB2OsI.

a b c (Å): 4.2681 4.2681 5.6383
angles (deg): 90.00 90.00 90.00
Closest atoms and distances in Å follow each position.
Fractional coordinates of all 5 atoms:
Bi 0.0000 0.0000 0.0000  4 I 3.02
B 0.0000 0.5000 0.5000  2 Os 2.13
B 0.5000 0.0000 0.5000  2 Os 2.13
Os 0.5000 0.5000 0.5000  4 B 2.13
I 0.5000 0.5000 0.0000  2 Os 2.82, 4 Bi 3.02

Properties
VASP energy in eV per atom: -4.84
Formation energy (no corrections) in eV per atom: 1.159
Space-group type: P4/mmm (123)

| no. | total magnetization (μB/cell) |
| --- | --- |
| 1 | 0.00 |
| 2 | 0.00 |
| 3 | 0.00 |
| 4 | 0.00 |
| 5 | 0.00 |
| 6 | 0.00 |
| 7 | 0.29 |
| 8 | 0.00 |
| 9 | 0.95 |
| 10 | 0.00 |
| 11 | 0.24 |
| 12 | 0.00 |
| 13 | 0.00 |
| 14 | 0.48 |